DFT (PBE) results for crystalline InHg4I at its relaxed geometry.

abc: 6.5131 9.0088 10.2822
angles: 90.00 128.93 90.00
With the nearest neighbours (Å) after each atom.
Space group P2_1/c (No. 14)
Inequivalent atoms, fractional coordinates:
1 In 0.0000 0.0000 0.0000 (multiplicity 2)  4 Hg 3.05-3.10, 2 I 3.26
2 Hg 0.0417 0.1638 0.5423 (multiplicity 4)  3 Hg 3.03-3.37, 1 In 3.05
3 Hg 0.3598 0.6314 0.8587 (multiplicity 4)  1 In 3.10, 3 Hg 3.27-3.37
4 I 0.5000 0.0000 0.0000 (multiplicity 2)  2 In 3.26, 2 Hg 3.51

Results
**Calculated total energy**: -1.030 eV/atom
**Relative energy among the computed polymorphs**: 0.00 kJ per mole of atoms
**E_form (uncorrected)**: -0.1138 eV per atom
**Crystal system**: monoclinic